Entry from Alexandria: a relaxed structure of Ag4PtAu2 (PBE).

Results
* energy of formation: 0.60 eV/atom
* offset from the most stable computed form: 0.5536 eV per atom

Lattice parameters (Å, degrees): 5.110 5.110 7.612 70.39 70.39 90.00
Element x y z (fractional)
Ag: 0.802 0.802 0.395
Ag: 0.000 0.500 0.000
Au: 0.603 0.603 0.793
Ag: 0.198 0.198 0.605
Pt: 0.000 0.000 0.000
Ag: 0.500 0.000 0.000
Au: 0.397 0.397 0.207